No. 1
DFT (PBE-GGA) results for an optimized crystal structure of Tb4PtBr5.

The structure in CIF format:
```
data_Tb4PtBr5
_chemical_formula_sum 'Tb4 Pt1 Br5'
_symmetry_space_group_name_H-M 'P 1'
_symmetry_Int_Tables_number 1
_symmetry_space_group_name_Hall 'P 1'
_cell_length_a 4.057
_cell_length_b 8.581
_cell_length_c 9.634
_cell_angle_alpha 102.27
_cell_angle_beta 102.15
_cell_angle_gamma 90.00
loop_
_atom_site_label
_atom_site_fract_x
_atom_site_fract_y
_atom_site_fract_z
Tb1 0.351 0.922 0.702
Tb2 0.998 0.781 0.995
Tb3 0.649 0.078 0.298
Tb4 0.002 0.219 0.005
Pt1 0.500 0.000 0.000
Br1 0.831 0.671 0.662
Br2 0.822 0.155 0.644
Br3 0.178 0.845 0.356
Br4 0.500 0.500 0.000
Br5 0.169 0.329 0.338
```

Computed properties:
ΔE_f (raw) (eV/atom): -1.524
Space-group type: C2/m (12)
Total DFT energy (no corrections) (eV per atom): -4.82

=====

No. 2
DFT (PBE-GGA) results for an optimized crystal structure of Pa2AlZn16.

The structure in CIF format:
```
data_Pa2AlZn16
_chemical_formula_sum 'Pa2 Al1 Zn16'
_symmetry_space_group_name_H-M 'P 1'
_symmetry_Int_Tables_number 1
_symmetry_space_group_name_Hall 'P 1'
_cell_length_a 6.796
_cell_length_b 6.796
_cell_length_c 6.796
_cell_angle_alpha 82.82
_cell_angle_beta 82.82
_cell_angle_gamma 82.82
loop_
_atom_site_label
_atom_site_fract_x
_atom_site_fract_y
_atom_site_fract_z
Pa1 0.663 0.663 0.663
Pa2 0.338 0.338 0.338
Al1 0.900 0.900 0.900
Zn1 0.701 0.000 0.299
Zn2 0.000 0.299 0.701
Zn3 0.299 0.701 0.000
Zn4 0.000 0.701 0.299
Zn5 0.701 0.299 0.000
Zn6 0.299 0.000 0.701
Zn7 0.354 0.837 0.354
Zn8 0.837 0.354 0.354
Zn9 0.354 0.354 0.837
Zn10 0.646 0.160 0.646
Zn11 0.160 0.646 0.646
Zn12 0.646 0.646 0.160
Zn13 0.002 0.496 0.002
Zn14 0.496 0.002 0.002
Zn15 0.002 0.002 0.496
Zn16 0.101 0.101 0.101
```

Computed properties:
Space-group type: R3m (160)
Total DFT energy (no corrections) (eV per atom): -2.39

=====

No. 3
DFT (PBE-GGA) results for an optimized crystal structure of YFeRe2.

The structure in CIF format:
```
data_YFeRe2
_chemical_formula_sum 'Y1 Fe1 Re2'
_symmetry_space_group_name_H-M 'P 1'
_symmetry_Int_Tables_number 1
_symmetry_space_group_name_Hall 'P 1'
_cell_length_a 4.490
_cell_length_b 4.490
_cell_length_c 4.490
_cell_angle_alpha 60.00
_cell_angle_beta 60.00
_cell_angle_gamma 60.00
loop_
_atom_site_label
_atom_site_fract_x
_atom_site_fract_y
_atom_site_fract_z
Y1 0.500 0.500 0.500
Re1 0.250 0.250 0.250
Re2 0.750 0.750 0.750
Fe1 0.000 0.000 0.000
```

Computed properties:
Space-group type: Fm-3m (225)
Distance to the lowest polymorph of the same formula (eV per formula unit): 2.349
Total DFT energy (no corrections) (eV per atom): -9.19

=====

| no. | calculated volume (Å³ per cell) |
| --- | --- |
| 1 | 320 |
| 2 | 307 |
| 3 | 64 |